Material: VSeO2F
Method: DFT, GGA+U
State: optimized geometry

The density of states at the Fermi level is 1.529 states/eV/f.u. The calculation puts the raw total energy at -0.36239 Ry per atom. As for the volume: 71.5 Å³ per cell.

The space group is P4/mmm (No. 123) and the conventional cell measures 3.8804, 3.8804 and 4.7512 Å, with angles of 90.00, 90.00 and 90.00 degrees. The distinct sites, in fractional coordinates, are V at (0.0000, 0.0000, 0.0000), Se at (0.5000, 0.5000, 0.5000), O at (0.0000, 0.5000, 0.5000) and F at (0.5000, 0.5000, 0.0000).